# 1
A geometry-optimized Li2HoScAu4 structure, computed with PBE.

a = 4.6245 Å, b = 4.6245 Å, c = 24.6124 Å
α = 90.00°, β = 90.00°, γ = 120.00°
Last column: nearest neighbours and their distance in Å.
Space group R-3m (No. 166, hexagonal axes)
Inequivalent atoms, fractional coordinates:
Li 0.0000 0.0000 0.2459 (multiplicity 6)  7 Au 2.80-3.02
Ho 0.0000 0.0000 0.0000 (multiplicity 3)  8 Au 2.97-3.03
Sc 0.0000 0.0000 0.5000 (multiplicity 3)  8 Au 2.80-2.88
Au 0.0000 0.0000 0.1233 (multiplicity 6)  4 Li 2.81-3.02, 3 Sc 2.88, 1 Ho 3.03
Au 0.0000 0.0000 0.3860 (multiplicity 6)  3 Li 2.80, 1 Sc 2.80, 3 Ho 2.97

Output
- DOS(E_F) (states/eV per cell) = 13.23
- DFT formation energy (eV per atom) = -0.70
- electronic total energy (eV/atom) = -4.18
- total moment (μB per atom) = 0.00

---

# 2
A geometry-optimized NaAc2UTe5 structure, computed with PBE.

a = 4.6200 Å, b = 19.2262 Å, c = 14.0777 Å
α = 90.00°, β = 90.00°, γ = 90.00°
Last column: nearest neighbours and their distance in Å.
Space group Cmc2_1 (No. 36)
Inequivalent atoms, fractional coordinates:
Na 0.0000 0.0348 0.0000 (multiplicity 4)  3 Te 2.86
Ac 0.0000 0.3663 0.8359 (multiplicity 4)  8 Te 3.38-3.64
Ac 0.0000 0.3949 0.2218 (multiplicity 4)  8 Te 3.37-3.68
U 0.0000 0.2975 0.5456 (multiplicity 4)  6 Te 2.97-3.19
Te 0.0000 0.0072 0.3051 (multiplicity 4)  1 Na 2.86
Te 0.0000 0.1341 0.5354 (multiplicity 4)  1 U 3.14, 1 Na 3.29
Te 0.0000 0.1880 0.8907 (multiplicity 4)  2 U 3.19, 1 Na 3.32, 1 Ac 3.51
Te 0.0000 0.2196 0.1970 (multiplicity 4)  2 U 3.16, 3 Ac 3.39-3.45
Te 0.0000 0.4433 0.6163 (multiplicity 4)  2 Na 2.86, 1 U 2.97

Output
- DOS(E_F) (states/eV per cell) = 20.66
- electronic total energy (eV/atom) = -5.20
- total moment (μB per atom) = 0.32
- E_form (uncorrected) (eV per atom) = -1.141

---

# 3
A geometry-optimized Sr4Tl6Pb7 structure, computed with PBE.

a = 10.3824 Å, b = 10.3824 Å, c = 10.3824 Å
α = 90.00°, β = 90.00°, γ = 90.00°
Last column: nearest neighbours and their distance in Å.
Space group Im-3m (No. 229)
Inequivalent atoms, fractional coordinates:
Sr 0.2500 0.2500 0.2500 (multiplicity 8)  6 Pb 3.67, 6 Tl 3.71
Tl 0.0000 0.0000 0.3037 (multiplicity 12)  5 Pb 3.15-3.30
Pb 0.0000 0.0000 0.0000 (multiplicity 2)  6 Tl 3.15
Pb 0.0000 0.2500 0.5000 (multiplicity 12)  4 Tl 3.30, 4 Pb 3.67, 4 Sr 3.67

Output
- DOS(E_F) (states/eV per cell) = 23.71
- DFT formation energy (eV per atom) = -0.27
- electronic total energy (eV/atom) = -3.03
- total moment (μB per atom) = 0.00